Entry 1:
42
Lattice="-6.6858 -1.0749 2.2220 -2.6982 -1.9896 -9.0813 3.0724 -7.1116 5.8046" Properties=species:S:1:pos:R:3 comment="NaNd9Ge6O26, optimized geometry, DFT PBEsol" vol_a3_per_atom=13.8 magnetic_moment_mub_per_fu=0.0 e_tot_ev_per_atom=-7.81 pbc="T T T"
O -1.8018 -7.8268 -3.3876
O 0.1641 -6.9069 -1.6471
O 1.8456 -7.0262 3.3547
O -1.9244 -5.0545 -2.5169
O -2.5514 -2.4300 -3.1340
O -3.8340 -2.3596 -6.8577
O -2.3279 -6.9951 -0.5230
O -6.2171 -4.9011 0.5730
O -4.6397 -6.5423 -4.4168
O -0.3000 -5.6372 1.3242
O -7.8398 -2.2792 -3.0413
O -3.8313 -6.2049 2.4977
O -7.2643 -6.9646 -3.5762
O -5.6936 -3.0810 -1.4525
O -0.8330 -7.3529 3.8022
O 0.3837 -2.4490 1.1703
O -2.0488 -3.2565 2.1255
O -6.3625 -4.3773 -4.0922
O -5.3332 -6.0544 -1.8066
O -4.8773 -2.4378 1.3808
O -4.2708 -9.2930 -0.1106
O -2.8659 -4.4129 -5.0395
O -2.5283 -6.9133 6.2837
O -5.2248 -1.8854 -3.9245
O -1.7950 -1.7253 -0.4155
O -3.6105 -4.4558 -0.3108
Nd -3.9849 -4.0317 3.2273
Nd -1.2751 -4.0882 -0.0274
Nd -0.7800 -3.6978 -4.1176
Nd 0.0637 -5.1092 3.5072
Nd -4.4982 -6.7502 0.3678
Nd -4.1262 -4.2357 -3.0055
Nd -0.4197 -7.8318 0.7356
Nd -0.0341 -0.0055 0.0113
Nd -3.1340 -7.8527 3.9391
Ge -2.3937 -1.1393 -1.9423
Ge -6.7370 -2.6709 -4.3771
Ge -5.5768 -7.2414 -3.0970
Ge -5.0900 -3.6028 0.1277
Ge -1.5398 -6.7171 -2.0711
Ge -3.4896 -4.0541 -6.6499
Na -3.4053 -0.5475 1.1317

Entry 2:
24
Lattice="5.7602 0.0000 0.0000 0.0000 10.1508 0.0000 0.0000 -5.0754 8.7909" Properties=species:S:1:pos:R:3 comment="NaNd3GeS7, optimized geometry, DFT PBEsol" vol_a3_per_atom=21.4 magnetic_moment_mub_per_fu=0.0 e_tot_ev_per_atom=-5.96 pbc="T T T"
S 4.4259 2.8953 7.9764
S 0.2797 0.0000 5.8606
S 2.9469 -0.3483 7.8743
S 1.5458 4.6907 6.4956
S 0.0668 6.6452 4.2387
S 2.9469 1.9180 5.1553
S 0.0668 5.4237 0.9166
S 2.9469 -1.5698 4.5521
S 1.5458 8.3554 1.4808
S 3.1598 5.0754 2.9303
S 1.5458 2.1802 0.8145
S 0.0668 3.1574 3.6355
S 4.4259 0.3847 2.2953
S 4.4259 -3.2800 7.3100
Nd 1.4464 0.5367 3.1706
Nd 4.3265 7.6734 2.0501
Nd 4.3265 3.0142 1.1205
Nd 1.4464 2.0613 7.6704
Nd 4.3265 4.5387 5.6203
Nd 1.4464 -2.5980 6.7408
Ge 0.9723 5.0754 2.9303
Ge 3.8524 0.0000 5.8606
Na 2.9762 0.0000 0.0000
Na 0.0961 0.0000 0.0000

Entry 3:
5
Lattice="3.9325 0.0000 0.0000 0.0000 3.9325 0.0000 -1.9662 -1.9662 5.0505" Properties=species:S:1:pos:R:3 comment="NaNi2Ge2, optimized geometry, DFT PBEsol" vol_a3_per_atom=15.6 e_form_kj_per_mol_atoms=-22.79 magnetic_moment_mub_per_fu=0.0 e_tot_ev_per_atom=-4.95 pbc="T T T"
Ge 1.9662 1.9662 1.2786
Ge 0.0000 0.0000 3.7719
Ni 1.9662 0.0000 2.5253
Ni 0.0000 1.9662 2.5253
Na 0.0000 0.0000 0.0000

Entry 4:
36
Lattice="4.9922 0.0000 0.0000 0.0000 6.6050 0.0000 0.0000 0.0000 16.1737" Properties=species:S:1:pos:R:3 comment="Na2Ge2O5, optimized geometry, DFT PBEsol" vol_a3_per_atom=14.8 magnetic_moment_mub_per_fu=0.0 e_tot_ev_per_atom=-6.07 polymorph_energy_mev_per_atom=11.9 pbc="T T T"
O 3.8100 6.2515 1.1720
O 3.2646 5.5911 13.7417
O 1.1823 0.3535 15.0017
O 1.1823 6.2515 9.2589
O 4.2237 2.2886 2.4319
O 1.3139 3.6561 1.1720
O 0.7685 4.3164 13.7417
O 1.7276 1.0139 2.4319
O 0.7685 2.2886 10.5188
O 3.6784 2.9490 15.0017
O 1.7276 5.5911 5.6549
O 1.5011 3.3025 4.0434
O 3.2646 1.0139 10.5188
O 0.9950 0.0000 12.1303
O 4.2237 4.3164 5.6549
O 3.4911 3.3025 12.1303
O 3.6784 3.6561 9.2589
O 3.8100 0.3535 6.9148
O 1.3139 2.9490 6.9148
O 3.9973 0.0000 4.0434
Ge 1.5110 5.9380 13.6635
Ge 4.0071 3.9695 13.6635
Ge 3.4813 5.9380 5.5767
Ge 0.9852 2.6355 2.5102
Ge 3.4813 0.6670 2.5102
Ge 1.5110 0.6670 10.5970
Ge 0.9852 3.9695 5.5767
Ge 4.0071 2.6355 10.5970
Na 1.3434 3.9730 9.0071
Na 1.1527 0.6704 7.1666
Na 3.6488 2.6321 7.1666
Na 3.6488 3.9730 0.9202
Na 1.3434 2.6321 15.2535
Na 1.1527 5.9346 0.9202
Na 3.8395 0.6704 15.2535
Na 3.8395 5.9346 9.0071

Entry 5:
36
Lattice="4.9406 -0.0105 0.0000 -0.0966 8.6506 0.0000 0.0000 0.0000 12.3534" Properties=species:S:1:pos:R:3 comment="Na2Ge2O5, optimized geometry, DFT PBEsol" vol_a3_per_atom=14.7 magnetic_moment_mub_per_fu=0.0 e_tot_ev_per_atom=-6.07 polymorph_energy_mev_per_atom=12.1 pbc="T T T"
O 3.2339 3.0064 10.0109
O 1.6579 0.4049 2.8070
O 3.8572 7.3812 2.8387
O 3.6593 3.4024 7.0603
O 3.7033 0.9071 0.8836
O 1.6101 5.6337 2.3425
O 3.5490 7.4234 6.6787
O 3.4088 5.5789 9.0154
O 0.7640 3.9151 8.9838
O 4.1287 1.3031 3.8342
O 3.1860 8.2351 9.5464
O 4.0799 4.7249 3.3697
O 1.4352 3.0611 3.3380
O 1.1407 7.7330 11.4698
O 0.9868 1.2589 9.5147
O 3.7170 5.5367 0.5019
O 1.2950 1.2167 5.6748
O 0.7153 7.3369 8.5192
O 1.1846 5.2376 5.2931
O 1.1270 3.1034 11.8515
Ge 3.3816 5.8249 2.1564
Ge 3.8844 7.1352 8.3331
Ge 1.4223 8.2619 9.8610
Ge 1.4624 2.8151 10.1970
Ge 0.9031 4.7087 3.6843
Ge 0.9596 1.5049 4.0203
Ge 3.9409 3.9314 8.6692
Ge 3.4217 0.3781 2.4924
Na 1.1263 0.9922 0.5394
Na 1.1274 5.4794 12.3135
Na 3.7177 7.6479 11.8140
Na 1.1979 7.4912 6.1368
Na 1.2957 3.3278 6.7161
Na 3.6460 1.1489 6.2166
Na 3.7166 3.1606 0.0399
Na 3.5483 5.3122 5.6373

Entry 6:
4
Lattice="3.4411 0.0000 0.0000 1.7206 2.9801 0.0000 1.7206 0.9934 5.9882" Properties=species:S:1:pos:R:3 comment="NaGeO2, optimized geometry, DFT PBEsol" vol_a3_per_atom=15.4 magnetic_moment_mub_per_fu=0.0 e_tot_ev_per_atom=-5.22 pbc="T T T"
Ge 0.0000 0.0000 0.0000
O 5.1617 2.9801 1.6877
O 1.7206 0.9934 4.3005
Na 3.4411 1.9867 2.9941